No. 1
CoCN3 | Alexandria | PBEsol | relaxed; mass density = 5.5 g cm⁻³; energy = -6.46 eV per atom; D(E_F) = 1.80 states/eV per cell
1.0
3.2473 0.0000 0.0000
0.0000 3.2473 0.0000
0.0000 0.0000 3.2473
C Co N
1 1 3
Direct
0.0000 0.0000 0.0000
0.5000 0.5000 0.5000
0.0000 0.5000 0.0000
0.0000 0.0000 0.5000
0.5000 0.0000 0.0000


No. 2
Rb2NaCoC6N6 | Alexandria | PBEsol | relaxed; mass density = 2.4 g cm⁻³; energy = -7.65 eV per atom; D(E_F) = 0.00 states/eV per cell
1.0
-6.7903 -1.5289 -1.7506
2.0472 -7.1256 -1.7174
-2.0098 -2.9328 9.7731
Rb Na Co C N
4 2 2 12 12
Direct
0.9752 0.5719 0.7481
0.5248 0.0719 0.7519
0.0248 0.4281 0.2519
0.4752 0.9281 0.2481
0.0000 0.0000 0.5000
0.5000 0.5000 0.0000
0.0000 0.0000 0.0000
0.5000 0.5000 0.5000
0.2092 0.1338 0.0327
0.7092 0.3662 0.5327
0.7908 0.8662 0.9673
0.2908 0.6338 0.4673
0.3685 0.2987 0.4590
0.1315 0.7987 0.0410
0.6315 0.7013 0.5410
0.8685 0.2013 0.9590
0.9261 0.0207 0.1702
0.5739 0.5207 0.3298
0.0739 0.9793 0.8298
0.4261 0.4793 0.6702
0.8804 0.0366 0.2785
0.6196 0.5366 0.2215
0.1196 0.9634 0.7215
0.3804 0.4634 0.7785
0.2832 0.1726 0.4318
0.7832 0.3274 0.9318
0.7168 0.8274 0.5682
0.2168 0.6726 0.0682
0.3418 0.2182 0.0556
0.1582 0.7182 0.4444
0.6582 0.7818 0.9444
0.8418 0.2818 0.5556


No. 3
CoCNO2 | Alexandria | PBEsol | relaxed; mass density = 4.9 g cm⁻³; energy = -6.36 eV per atom; D(E_F) = 4.04 states/eV per cell
1.0
2.5265 0.0000 0.0000
0.0000 3.9661 0.0000
0.0000 0.0000 3.9661
C Co O N
1 1 2 1
Direct
0.0000 0.0000 0.0000
0.5000 0.5000 0.5000
0.0000 0.0000 0.5000
0.0000 0.5000 0.0000
0.5000 0.0000 0.0000


no.,volume (Å³ per cell)
1,34.2
2,568.0
3,39.7